Entry from Alexandria via LeMat-Bulk: a geometry-optimized La3NdN3 structure (PBE).

energy relative to the lowest polymorph listed for this composition: 0 meV per atom
E_form (uncorrected): -1.13 eV/atom
crystal system: cubic
spin magnetization: 0.0000 μB/atom

Structure (CIF):
```
data_La3NdN3
_cell_length_a 5.234
_cell_length_b 5.234
_cell_length_c 5.234
_cell_angle_alpha 90.00
_cell_angle_beta 90.00
_cell_angle_gamma 90.00
_symmetry_space_group_name_H-M 'P 1'
_symmetry_Int_Tables_number 1
loop_
_symmetry_equiv_pos_as_xyz
'x,y,z'
loop_
_atom_site_label
_atom_site_fract_x
_atom_site_fract_y
_atom_site_fract_z
La1 0.000 0.000 0.500
La2 0.000 0.500 0.000
La3 0.500 0.000 0.000
Nd1 0.500 0.500 0.500
N1 0.000 0.500 0.500
N2 0.500 0.000 0.500
N3 0.500 0.500 0.000
```